## Sr2CrCl (GGA-PBE)

Data for an optimized crystal structure of Sr2CrCl.

Summary:
**Final energy**: -4.071 eV per atom
**ΔE to the lowest computed polymorph**: 56.9 meV/atom
**Theoretical density**: 3.05 g/cm3
**Formation energy (no corrections)**: -362 meV/atom

```
data_Sr2CrCl
_symmetry_space_group_name_H-M 'P -4 m 2'
_symmetry_Int_Tables_number 115
_cell_length_a 5.9613
_cell_length_b 5.9613
_cell_length_c 4.0258
_cell_angle_alpha 90.00
_cell_angle_beta 90.00
_cell_angle_gamma 90.00
loop_
_symmetry_equiv_pos_as_xyz
'x,y,z'
'y,-x,-z'
'-x,-y,z'
'-y,x,-z'
'-x,y,z'
'-y,-x,-z'
'x,-y,z'
'y,x,-z'
loop_
_atom_site_label
_atom_site_fract_x
_atom_site_fract_y
_atom_site_fract_z
Sr1 0.0000 0.5000 0.0002
Cr1 0.0000 0.0000 0.5000
Cl1 0.5000 0.5000 0.0000
```